A relaxed VHRu2Se crystal. Source: Alexandria, functional PBE.

a = 3.8091 Å, b = 3.8091 Å, c = 4.2505 Å
α = 90.00°, β = 90.00°, γ = 90.00°
With the nearest neighbours (Å) after each atom.
Fractional coordinates of all 5 atoms:
V1 0.0000 0.0000 0.0000  4 Se 2.69, 8 Ru 2.85
H1 0.5000 0.5000 0.5000  4 Ru 1.90, 2 Se 2.13
Ru1 0.0000 0.5000 0.5000  2 H 1.90
Ru2 0.5000 0.0000 0.5000  2 H 1.90
Se1 0.5000 0.5000 0.0000  2 H 2.13

Computed properties:
Space group   P4/mmm, No. 123
Mass density   8.97 g cm⁻³
DOS(E_F)   7.663 states/eV/cell
VASP energy   -6.452 eV per atom

=====

A relaxed SbI2BrO crystal. Source: Alexandria, functional PBE.

a = 6.2701 Å, b = 6.2701 Å, c = 3.7907 Å
α = 90.00°, β = 90.00°, γ = 90.00°
With the nearest neighbours (Å) after each atom.
Fractional coordinates of all 5 atoms:
Sb1 0.0000 0.0000 0.0000  8 I 3.66, 2 Sb 3.79
I1 0.0000 0.5000 0.5000  2 Br 3.14
I2 0.5000 0.0000 0.5000  2 Br 3.14
Br1 0.5000 0.5000 0.5000  2 O 1.90
O1 0.5000 0.5000 0.0000  2 Br 1.90

Computed properties:
Space group   P4/mmm, No. 123
Mass density   5.25 g cm⁻³
Energy above the most stable polymorph in this dataset   0.702 eV/atom
Energy relative to the elements, uncorrected   0.60 eV per atom
DOS(E_F)   6.928 states/eV/cell

=====

A relaxed Y2HoFe crystal. Source: Alexandria, functional PBE.

a = 3.3639 Å, b = 3.3639 Å, c = 9.0040 Å
α = 90.00°, β = 90.00°, γ = 90.00°
With the nearest neighbours (Å) after each atom.
Fractional coordinates of all 4 atoms:
Y1 0.0000 0.0000 0.1802  4 Fe 2.88
Y2 0.0000 0.0000 0.8198  4 Fe 2.88
Ho1 0.5000 0.5000 0.5000  4 Ho 3.36, 8 Y 3.74
Fe1 0.5000 0.5000 0.0000  8 Y 2.88

Computed properties:
Space group   P4/mmm, No. 123
Mass density   6.50 g cm⁻³
Energy above the most stable polymorph in this dataset   0.126 eV/atom
DOS(E_F)   3.923 states/eV/cell
ΔH_f (0 K)   123 meV/atom

=====

A relaxed DyPOs crystal. Source: Alexandria, functional PBE.

a = 5.1049 Å, b = 4.1825 Å, c = 5.2675 Å
α = 90.00°, β = 103.89°, γ = 90.00°
With the nearest neighbours (Å) after each atom.
Fractional coordinates of all 6 atoms:
Dy1 0.2429 0.2500 0.4087  4 P 2.72-2.86, 1 Os 3.05
Dy2 0.7571 0.7500 0.5913  4 P 2.72-2.86, 1 Os 3.05
P1 0.0875 0.2500 0.8681  3 Os 2.39-2.42
P2 0.9125 0.7500 0.1319  3 Os 2.39-2.42
Os1 0.3143 0.7500 0.9654  3 P 2.39-2.42
Os2 0.6857 0.2500 0.0346  3 P 2.39-2.42

Computed properties:
Space group   P2_1/m, No. 11
Mass density   11.67 g cm⁻³
DOS(E_F)   3.606 states/eV/cell
ΔH_f (0 K)   -577 meV/atom

=====

A relaxed Cs2Np2InSe6 crystal. Source: Alexandria, functional PBE.

a = 7.2852 Å, b = 7.2852 Å, c = 8.8592 Å
α = 97.65°, β = 97.65°, γ = 120.06°
With the nearest neighbours (Å) after each atom.
Fractional coordinates of all 11 atoms:
Cs1 0.1647 0.8353 0.0000  6 Se 3.64-3.66
Cs2 0.8353 0.1647 0.0000  6 Se 3.64-3.66
Np1 0.3332 0.6667 0.5000  6 Se 2.86-2.87
Np2 0.6667 0.3332 0.5000  6 Se 2.86-2.87
In1 0.0000 0.0000 0.5000  6 Se 2.86-2.89
Se1 0.0587 0.3952 0.6801  2 Np 2.86, 1 In 2.89
Se2 0.2744 0.2744 0.3216  1 In 2.86, 2 Np 2.87
Se3 0.3952 0.0587 0.6801  2 Np 2.86, 1 In 2.89
Se4 0.6048 0.9413 0.3199  2 Np 2.86, 1 In 2.89
Se5 0.7256 0.7256 0.6784  1 In 2.86, 2 Np 2.87
Se6 0.9413 0.6048 0.3199  2 Np 2.86, 1 In 2.89

Computed properties:
Space group   C2/m, No. 12
Mass density   5.62 g cm⁻³
Energy relative to the elements, uncorrected   -1.06 eV per atom
DOS(E_F)   15.120 states/eV/cell

=====

A relaxed Sr2LaBr crystal. Source: Alexandria, functional PBE.

a = 6.1813 Å, b = 6.1813 Å, c = 6.1813 Å
α = 60.00°, β = 60.00°, γ = 60.00°
With the nearest neighbours (Å) after each atom.
Fractional coordinates of all 4 atoms:
Sr1 0.0000 0.0000 0.0000  4 La 3.79, 4 Sr 3.79
Sr2 0.2500 0.2500 0.2500  4 Br 3.79, 4 Sr 3.79
La1 0.7500 0.7500 0.7500  4 Br 3.79, 4 Sr 3.79
Br1 0.5000 0.5000 0.5000  4 La 3.79, 4 Sr 3.79

Computed properties:
Space group   F-43m, No. 216
Mass density   3.92 g cm⁻³
Energy relative to the elements, uncorrected   -0.04 eV per atom
DOS(E_F)   6.161 states/eV/cell

=====

A relaxed YTi2OsW crystal. Source: Alexandria, functional PBE.

a = 4.6932 Å, b = 4.6932 Å, c = 5.2652 Å
α = 90.00°, β = 90.00°, γ = 90.00°
With the nearest neighbours (Å) after each atom.
Fractional coordinates of all 5 atoms:
Y1 0.0000 0.0000 0.0000  2 Os 2.63
Ti1 0.0000 0.5000 0.5000  2 Os 2.35
Ti2 0.5000 0.0000 0.5000  2 Os 2.35
Os1 0.0000 0.0000 0.5000  4 Ti 2.35
W1 0.5000 0.5000 0.0000  4 Y 3.32, 8 Ti 3.53

Computed properties:
Space group   P4/mmm, No. 123
Mass density   8.00 g cm⁻³
DOS(E_F)   5.524 states/eV/cell
ΔH_f (0 K)   1037 meV/atom

=====

A relaxed TbSm5Sb5 crystal. Source: Alexandria, functional PBE.

a = 7.6441 Å, b = 7.6441 Å, c = 8.8287 Å
α = 106.86°, β = 106.86°, γ = 48.33°
With the nearest neighbours (Å) after each atom.
Fractional coordinates of all 11 atoms:
Tb1 0.0000 0.0000 0.0000  6 Sb 3.11-3.13
Sm1 0.0000 0.0000 0.5000  4 Sb 3.11-3.12
Sm2 0.3314 0.3314 0.6668  5 Sb 3.10-3.13
Sm3 0.3349 0.3349 0.1682  5 Sb 3.11-3.14
Sm4 0.6651 0.6651 0.8318  5 Sb 3.11-3.14
Sm5 0.6686 0.6686 0.3332  5 Sb 3.10-3.13
Sb1 0.1656 0.1656 0.3328  1 Tb 3.11, 5 Sm 3.11-3.14
Sb2 0.1670 0.1670 0.8341  5 Sm 3.10-3.13, 1 Tb 3.12
Sb3 0.5000 0.5000 0.0000  4 Sm 3.11-3.13, 2 Tb 3.13
Sb4 0.8330 0.8330 0.1659  5 Sm 3.10-3.13, 1 Tb 3.12
Sb5 0.8344 0.8344 0.6672  1 Tb 3.11, 5 Sm 3.11-3.14

Computed properties:
Space group   C2/m, No. 12
Mass density   6.91 g cm⁻³
Energy relative to the elements, uncorrected   -0.98 eV per atom
DOS(E_F)   5.981 states/eV/cell

=====

A relaxed CrSiHRu2 crystal. Source: Alexandria, functional PBE.

a = 3.9759 Å, b = 3.9759 Å, c = 3.5091 Å
α = 90.00°, β = 90.00°, γ = 90.00°
With the nearest neighbours (Å) after each atom.
Fractional coordinates of all 5 atoms:
Cr1 0.0000 0.0000 0.0000  2 H 1.75
Si1 0.5000 0.5000 0.0000  8 Ru 2.65, 4 Cr 2.81
H1 0.0000 0.0000 0.5000  2 Cr 1.75
Ru1 0.0000 0.5000 0.5000  2 H 1.99
Ru2 0.5000 0.0000 0.5000  2 H 1.99

Computed properties:
Space group   P4/mmm, No. 123
Mass density   8.48 g cm⁻³
Energy above the most stable polymorph in this dataset   0.000 eV/atom
DOS(E_F)   4.962 states/eV/cell

=====

A relaxed Zn3FeB crystal. Source: Alexandria, functional PBE.

a = 4.5929 Å, b = 4.5929 Å, c = 4.5929 Å
α = 90.00°, β = 90.00°, γ = 90.00°
With the nearest neighbours (Å) after each atom.
Fractional coordinates of all 5 atoms:
Zn1 0.0000 0.0000 0.5000  2 Fe 2.30
Zn2 0.0000 0.5000 0.0000  2 Fe 2.30
Zn3 0.5000 0.0000 0.0000  2 Fe 2.30
Fe1 0.0000 0.0000 0.0000  6 Zn 2.30
B1 0.5000 0.5000 0.5000  12 Zn 3.25

Computed properties:
Space group   Pm-3m, No. 221
Mass density   4.51 g cm⁻³
Energy above the most stable polymorph in this dataset   0.793 eV/atom
DOS(E_F)   4.043 states/eV/cell
ΔH_f (0 K)   1392 meV/atom

=====

A relaxed ScCoAgBi2 crystal. Source: Alexandria, functional PBE.

a = 4.9931 Å, b = 4.9931 Å, c = 4.9284 Å
α = 90.00°, β = 90.00°, γ = 90.00°
With the nearest neighbours (Å) after each atom.
Fractional coordinates of all 5 atoms:
Sc1 0.0000 0.0000 0.0000  8 Bi 3.51, 4 Ag 3.53
Co1 0.5000 0.5000 0.5000  2 Ag 2.46, 4 Bi 2.50
Ag1 0.5000 0.5000 0.0000  2 Co 2.46
Bi1 0.0000 0.5000 0.5000  2 Co 2.50
Bi2 0.5000 0.0000 0.5000  2 Co 2.50

Computed properties:
Space group   P4/mmm, No. 123
Mass density   8.51 g cm⁻³
DOS(E_F)   4.526 states/eV/cell
ΔH_f (0 K)   307 meV/atom

=====

A relaxed BaLi6 crystal. Source: Alexandria, functional PBE.

a = 9.9547 Å, b = 6.1798 Å, c = 12.3359 Å
α = 90.00°, β = 90.00°, γ = 90.00°
With the nearest neighbours (Å) after each atom.
Fractional coordinates of all 28 atoms:
Ba1 0.2426 0.2500 0.0667  15 Li 3.54-3.94
Ba2 0.2574 0.7500 0.5667  15 Li 3.54-3.94
Ba3 0.7426 0.2500 0.4333  15 Li 3.54-3.94
Ba4 0.7574 0.7500 0.9333  15 Li 3.54-3.94
Li1 0.0561 0.7500 0.0986  5 Li 3.00-3.22
Li2 0.0655 0.5010 0.3106  7 Li 2.97-3.10
Li3 0.0655 0.9990 0.3106  7 Li 2.97-3.10
Li4 0.0968 0.2500 0.5146  6 Li 2.97-3.21
Li5 0.1427 0.7500 0.8609  8 Li 3.06-3.39
Li6 0.1826 0.2500 0.7530  7 Li 3.00-3.22
Li7 0.3174 0.7500 0.2530  7 Li 3.00-3.22
Li8 0.3573 0.2500 0.3609  8 Li 3.06-3.39
Li9 0.4032 0.7500 0.0146  6 Li 2.97-3.21
Li10 0.4345 0.0010 0.8106  7 Li 2.97-3.10
Li11 0.4345 0.4990 0.8106  7 Li 2.97-3.10
Li12 0.4439 0.2500 0.5986  5 Li 3.00-3.22
Li13 0.5561 0.7500 0.4014  5 Li 3.00-3.22
Li14 0.5655 0.5010 0.1894  7 Li 2.97-3.10
Li15 0.5655 0.9990 0.1894  7 Li 2.97-3.10
Li16 0.5968 0.2500 0.9854  6 Li 2.97-3.21
Li17 0.6427 0.7500 0.6391  8 Li 3.06-3.39
Li18 0.6826 0.2500 0.7470  7 Li 3.00-3.22
Li19 0.8174 0.7500 0.2470  7 Li 3.00-3.22
Li20 0.8573 0.2500 0.1391  8 Li 3.06-3.39
Li21 0.9032 0.7500 0.4854  6 Li 2.97-3.21
Li22 0.9345 0.0010 0.6894  7 Li 2.97-3.10
Li23 0.9345 0.4990 0.6894  7 Li 2.97-3.10
Li24 0.9439 0.2500 0.9014  5 Li 3.00-3.22

Computed properties:
Space group   Pnma, No. 62
Mass density   1.57 g cm⁻³
Energy above the most stable polymorph in this dataset   0.000 eV/atom
DOS(E_F)   18.206 states/eV/cell
ΔH_f (0 K)   27 meV/atom